(1)
Below is crystalline RbNaAlI5 at its relaxed geometry, with properties calculated at the PBE-GGA level.

Cell and atoms, written as CIF:
```
data_RbNaAlI5
_cell_length_a 11.0867
_cell_length_b 14.1458
_cell_length_c 10.8016
_cell_angle_alpha 90.00
_cell_angle_beta 114.27
_cell_angle_gamma 90.00
_space_group_name_H-M_alt 'C 1 2/c 1'
_space_group_IT_number 15
_space_group_name_Hall '-C 2yc'
loop_
_atom_site_label
_atom_site_type_symbol
_atom_site_fract_x
_atom_site_fract_y
_atom_site_fract_z
_atom_site_occupancy
Rb1 Rb 0.0000 0.1643 0.2500 1
Na1 Na 0.0000 0.5000 0.0000 1
Al1 Al 0.0000 0.1671 0.7500 1
I1 I 0.0000 0.4149 0.2500 1
I2 I 0.1137 0.2710 0.6334 1
I3 I 0.1673 0.0622 0.9370 1
```

Output
The formation energy from raw total energies comes out at -1.020 eV/atom. The total energy comes out at -21.9 eV/f.u. As for the spin magnetization: 0.05 μB/f.u. The crystal system is monoclinic.

(2)
Below is crystalline LaSb2Os at its relaxed geometry, with properties calculated at the PBE-GGA level.

Cell and atoms, written as CIF:
```
data_LaSb2Os
_cell_length_a 4.5773
_cell_length_b 4.5773
_cell_length_c 4.4530
_cell_angle_alpha 90.00
_cell_angle_beta 90.00
_cell_angle_gamma 90.00
_space_group_name_H-M_alt 'P 4/m m m'
_space_group_IT_number 123
_space_group_name_Hall '-P 4 2'
loop_
_atom_site_label
_atom_site_type_symbol
_atom_site_fract_x
_atom_site_fract_y
_atom_site_fract_z
_atom_site_occupancy
La1 La 0.0000 0.0000 0.0000 1
Sb1 Sb 0.0000 0.5000 0.5000 1
Os1 Os 0.5000 0.5000 0.0000 1
```

Output
The formation energy from raw total energies comes out at 0.051 eV/atom. The total energy comes out at -24.2 eV/f.u. As for the spin magnetization: 0.00 μB/f.u. The crystal system is tetragonal.

What did the second record say?
Below is crystalline LaSb2Os at its relaxed geometry, with properties calculated at the PBE-GGA level.

Cell and atoms, written as CIF:
```
data_LaSb2Os
_cell_length_a 4.5773
_cell_length_b 4.5773
_cell_length_c 4.4530
_cell_angle_alpha 90.00
_cell_angle_beta 90.00
_cell_angle_gamma 90.00
_space_group_name_H-M_alt 'P 4/m m m'
_space_group_IT_number 123
_space_group_name_Hall '-P 4 2'
loop_
_atom_site_label
_atom_site_type_symbol
_atom_site_fract_x
_atom_site_fract_y
_atom_site_fract_z
_atom_site_occupancy
La1 La 0.0000 0.0000 0.0000 1
Sb1 Sb 0.0000 0.5000 0.5000 1
Os1 Os 0.5000 0.5000 0.0000 1
```

Output
The formation energy from raw total energies comes out at 0.051 eV/atom. The total energy comes out at -24.2 eV/f.u. As for the spin magnetization: 0.00 μB/f.u. The crystal system is tetragonal.